# PBE LiInHg, relaxed
data_LiInHg
_chemical_formula_sum 'Li2 In2 Hg2'
_symmetry_space_group_name_H-M 'P 1 21/m 1'
_symmetry_Int_Tables_number 11
_symmetry_space_group_name_Hall '-P 2yb'
_cell_length_a 4.679
_cell_length_b 6.150
_cell_length_c 5.175
_cell_angle_alpha 90.00
_cell_angle_beta 116.38
_cell_angle_gamma 90.00
loop_
_atom_site_label
_atom_site_type_symbol
_atom_site_fract_x
_atom_site_fract_y
_atom_site_fract_z
Li1 Li 0.000 0.000 0.000
In1 In 0.286 0.250 0.587
Hg1 Hg 0.396 0.750 0.783
# **Energy above the lowest structure with this stoichiometry**: 0.055 eV per formula unit
# **Formation enthalpy at 0 K**: -0.63 eV per formula unit
# **Size of the total moment**: 0.0 μB/f.u.
# **Electronic total energy**: -1.86 eV/atom
# **Fermi-level density of states**: 2.06 states/eV per cell


# PBE LiIn4Hg7, relaxed
data_LiIn4Hg7
_chemical_formula_sum 'Li1 In4 Hg7'
_symmetry_space_group_name_H-M 'P -3 m 1'
_symmetry_Int_Tables_number 164
_symmetry_space_group_name_Hall '-P 3 2"'
_cell_length_a 4.9336
_cell_length_b 4.9336
_cell_length_c 14.5540
_cell_angle_alpha 90.00
_cell_angle_beta 90.00
_cell_angle_gamma 120.00
loop_
_atom_site_label
_atom_site_type_symbol
_atom_site_fract_x
_atom_site_fract_y
_atom_site_fract_z
Li1 Li 0.0000 0.0000 0.0000
In1 In 0.3333 0.6667 0.1533
In2 In 0.3333 0.6667 0.4095
Hg1 Hg 0.0000 0.0000 0.2343
Hg2 Hg 0.0000 0.0000 0.5000
Hg3 Hg 0.3333 0.6667 0.6735
Hg4 Hg 0.3333 0.6667 0.9353
# **Energy above the lowest structure with this stoichiometry**: 0.000 eV per formula unit
# **Formation enthalpy at 0 K**: -0.66 eV per formula unit
# **Size of the total moment**: 0.0 μB/f.u.
# **Electronic total energy**: -1.30 eV/atom
# **Fermi-level density of states**: 3.11 states/eV per cell


# PBE Li2InHg, relaxed
data_Li2InHg
_chemical_formula_sum 'Li6 In3 Hg3'
_symmetry_space_group_name_H-M 'R 3 m'
_symmetry_Int_Tables_number 160
_symmetry_space_group_name_Hall 'R 3 -2"'
_cell_length_a 3.2877
_cell_length_b 3.2877
_cell_length_c 28.7094
_cell_angle_alpha 90.00
_cell_angle_beta 90.00
_cell_angle_gamma 120.00
loop_
_atom_site_label
_atom_site_type_symbol
_atom_site_fract_x
_atom_site_fract_y
_atom_site_fract_z
Li1 Li 0.0000 0.0000 0.0000
Li2 Li 0.0000 0.0000 0.2443
In1 In 0.0000 0.0000 0.4979
Hg1 Hg 0.0000 0.0000 0.7400
# **Formation enthalpy at 0 K**: -0.49 eV per formula unit
# **Size of the total moment**: 0.0 μB/f.u.
# **Electronic total energy**: -1.84 eV/atom
# **Fermi-level density of states**: 6.53 states/eV per cell


# PBE LiInHg4, relaxed
data_LiInHg4
_chemical_formula_sum 'Li2 In2 Hg8'
_symmetry_space_group_name_H-M 'P 1 21/c 1'
_symmetry_Int_Tables_number 14
_symmetry_space_group_name_Hall '-P 2ybc'
_cell_length_a 5.250
_cell_length_b 5.362
_cell_length_c 10.244
_cell_angle_alpha 90.00
_cell_angle_beta 90.05
_cell_angle_gamma 90.00
loop_
_atom_site_label
_atom_site_type_symbol
_atom_site_fract_x
_atom_site_fract_y
_atom_site_fract_z
Li1 Li 0.000 0.000 0.000
In1 In 0.500 0.000 0.500
Hg1 Hg 0.000 0.002 0.329
Hg2 Hg 0.499 0.000 0.158
# **Energy above the lowest structure with this stoichiometry**: 0.000 eV per formula unit
# **Formation enthalpy at 0 K**: -0.71 eV per formula unit
# **Size of the total moment**: 0.0 μB/f.u.
# **Electronic total energy**: -1.09 eV/atom
# **Fermi-level density of states**: 2.81 states/eV per cell


# PBE Li2InHg2, relaxed
data_Li2InHg2
_chemical_formula_sum 'Li4 In2 Hg4'
_symmetry_space_group_name_H-M 'I 4/m m m'
_symmetry_Int_Tables_number 139
_symmetry_space_group_name_Hall '-I 4 2'
_cell_length_a 3.915
_cell_length_b 3.915
_cell_length_c 14.212
_cell_angle_alpha 90.00
_cell_angle_beta 90.00
_cell_angle_gamma 90.00
loop_
_atom_site_label
_atom_site_type_symbol
_atom_site_fract_x
_atom_site_fract_y
_atom_site_fract_z
Li1 Li 0.000 0.500 0.250
In1 In 0.000 0.000 0.000
Hg1 Hg 0.000 0.000 0.386
# **Energy above the lowest structure with this stoichiometry**: 0.572 eV per formula unit
# **Formation enthalpy at 0 K**: -0.85 eV per formula unit
# **Size of the total moment**: 0.0 μB/f.u.
# **Electronic total energy**: -1.60 eV/atom
# **Fermi-level density of states**: 3.19 states/eV per cell


# PBE LiIn14Hg, relaxed
data_LiIn14Hg
_chemical_formula_sum 'Li2 In28 Hg2'
_symmetry_space_group_name_H-M 'C m m m'
_symmetry_Int_Tables_number 65
_symmetry_space_group_name_Hall '-C 2 2'
_cell_length_a 9.918
_cell_length_b 9.932
_cell_length_c 8.536
_cell_angle_alpha 90.00
_cell_angle_beta 90.00
_cell_angle_gamma 90.00
loop_
_atom_site_label
_atom_site_type_symbol
_atom_site_fract_x
_atom_site_fract_y
_atom_site_fract_z
Li1 Li 0.000 0.000 0.000
In1 In 0.000 0.000 0.500
In2 In 0.000 0.249 0.244
In3 In 0.000 0.500 0.500
In4 In 0.249 0.000 0.244
In5 In 0.250 0.250 0.000
In6 In 0.250 0.250 0.500
Hg1 Hg 0.000 0.500 0.000
# **Formation enthalpy at 0 K**: -0.23 eV per formula unit
# **Size of the total moment**: 0.0 μB/f.u.
# **Electronic total energy**: -2.55 eV/atom
# **Fermi-level density of states**: 15.73 states/eV per cell


# PBE Li2In2Hg, relaxed
data_Li2In2Hg
_chemical_formula_sum 'Li8 In8 Hg4'
_symmetry_space_group_name_H-M 'C 1 2/m 1'
_symmetry_Int_Tables_number 12
_symmetry_space_group_name_Hall '-C 2y'
_cell_length_a 8.685
_cell_length_b 4.890
_cell_length_c 10.911
_cell_angle_alpha 90.00
_cell_angle_beta 111.17
_cell_angle_gamma 90.00
loop_
_atom_site_label
_atom_site_type_symbol
_atom_site_fract_x
_atom_site_fract_y
_atom_site_fract_z
Li1 Li 0.096 0.000 0.146
Li2 Li 0.186 0.500 0.564
In1 In 0.053 0.000 0.649
In2 In 0.182 0.500 0.033
Hg1 Hg 0.087 0.500 0.289
# **Energy above the lowest structure with this stoichiometry**: 0.000 eV per formula unit
# **Formation enthalpy at 0 K**: -1.13 eV per formula unit
# **Size of the total moment**: 0.0 μB/f.u.
# **Electronic total energy**: -2.15 eV/atom
# **Fermi-level density of states**: 5.51 states/eV per cell


# PBE LiIn8Hg2, relaxed
data_LiIn8Hg2
_chemical_formula_sum 'Li2 In16 Hg4'
_symmetry_space_group_name_H-M 'C 1 2/m 1'
_symmetry_Int_Tables_number 12
_symmetry_space_group_name_Hall '-C 2y'
_cell_length_a 12.845
_cell_length_b 7.477
_cell_length_c 6.515
_cell_angle_alpha 90.00
_cell_angle_beta 101.94
_cell_angle_gamma 90.00
loop_
_atom_site_label
_atom_site_type_symbol
_atom_site_fract_x
_atom_site_fract_y
_atom_site_fract_z
Li1 Li 0.000 0.000 0.000
In1 In 0.085 0.500 0.370
In2 In 0.127 0.300 0.964
In3 In 0.216 0.000 0.286
Hg1 Hg 0.111 0.000 0.646
# **Energy above the lowest structure with this stoichiometry**: 0.340 eV per formula unit
# **Formation enthalpy at 0 K**: 0.35 eV per formula unit
# **Size of the total moment**: 0.0 μB/f.u.
# **Electronic total energy**: -2.19 eV/atom
# **Fermi-level density of states**: 9.97 states/eV per cell


# PBE LiIn2Hg4, relaxed
data_LiIn2Hg4
_chemical_formula_sum 'Li2 In4 Hg8'
_symmetry_space_group_name_H-M 'I 4/m m m'
_symmetry_Int_Tables_number 139
_symmetry_space_group_name_Hall '-I 4 2'
_cell_length_a 5.172
_cell_length_b 5.172
_cell_length_c 14.721
_cell_angle_alpha 90.00
_cell_angle_beta 90.00
_cell_angle_gamma 90.00
loop_
_atom_site_label
_atom_site_type_symbol
_atom_site_fract_x
_atom_site_fract_y
_atom_site_fract_z
Li1 Li 0.000 0.000 0.000
In1 In 0.000 0.000 0.378
Hg1 Hg 0.000 0.000 0.179
Hg2 Hg 0.000 0.500 0.000
# **Energy above the lowest structure with this stoichiometry**: 0.878 eV per formula unit
# **Formation enthalpy at 0 K**: 0.15 eV per formula unit
# **Size of the total moment**: 0.0 μB/f.u.
# **Electronic total energy**: -1.21 eV/atom
# **Fermi-level density of states**: 7.15 states/eV per cell


# PBE LiInHg, relaxed
data_LiInHg
_chemical_formula_sum 'Li2 In2 Hg2'
_symmetry_space_group_name_H-M 'P -1'
_symmetry_Int_Tables_number 2
_symmetry_space_group_name_Hall '-P 1'
_cell_length_a 5.192
_cell_length_b 5.199
_cell_length_c 6.117
_cell_angle_alpha 90.47
_cell_angle_beta 110.67
_cell_angle_gamma 119.89
loop_
_atom_site_label
_atom_site_type_symbol
_atom_site_fract_x
_atom_site_fract_y
_atom_site_fract_z
Li1 Li 0.165 0.257 0.255
In1 In 0.487 0.913 0.240
Hg1 Hg 0.165 0.402 0.740
# **Energy above the lowest structure with this stoichiometry**: 0.024 eV per formula unit
# **Formation enthalpy at 0 K**: -0.66 eV per formula unit
# **Size of the total moment**: 0.0 μB/f.u.
# **Electronic total energy**: -1.87 eV/atom
# **Fermi-level density of states**: 1.54 states/eV per cell


Look up the Fermi-level density of states of the first one. 2.06 states/eV per cell